Record 1
# YSc4Al (GGA-PBE, relaxed)
# - V: 23.9 Å³ per atom
# - Energy relative to the lowest polymorph listed for this composition: 0.0 meV per atom
# - Energy of formation: -49.2 meV/atom
data_YSc4Al
_space_group_name_H-M_alt 'C 1 2/m 1'
_space_group_IT_number 12
_cell_length_a 8.749
_cell_length_b 5.065
_cell_length_c 6.473
_cell_angle_alpha 90.00
_cell_angle_beta 90.22
_cell_angle_gamma 90.00
loop_
_space_group_symop_operation_xyz
'x,y,z'
'-x,-y,-z'
'-x,y,-z'
'x,-y,z'
'x+1/2,y+1/2,z'
'-x+1/2,-y+1/2,-z'
'-x+1/2,y+1/2,-z'
'x+1/2,-y+1/2,z'
loop_
_atom_site_label
_atom_site_type_symbol
_atom_site_fract_x
_atom_site_fract_y
_atom_site_fract_z
Y1 Y 0.000 0.000 0.000
Sc1 Sc 0.166 0.500 0.646
Sc2 Sc 0.167 0.500 0.152
Al1 Al 0.000 0.000 0.500

=====

Record 2
# BeTcPt2 (GGA-PBE, relaxed)
# - V: 13.4 Å³ per atom
# - Energy of formation: -322.2 meV/atom
data_BeTcPt2
_space_group_name_H-M_alt 'P 4 m m'
_space_group_IT_number 99
_cell_length_a 2.784
_cell_length_b 2.784
_cell_length_c 6.928
_cell_angle_alpha 90.00
_cell_angle_beta 90.00
_cell_angle_gamma 90.00
loop_
_space_group_symop_operation_xyz
'x,y,z'
'-y,x,z'
'-x,-y,z'
'y,-x,z'
'-x,y,z'
'y,x,z'
'x,-y,z'
'-y,-x,z'
loop_
_atom_site_label
_atom_site_type_symbol
_atom_site_fract_x
_atom_site_fract_y
_atom_site_fract_z
Be1 Be 0.000 0.000 0.000
Tc1 Tc 0.500 0.500 0.770
Pt1 Pt 0.000 0.000 0.505
Pt2 Pt 0.500 0.500 0.188

=====

Record 3
# PmY7Er12 (GGA-PBE, relaxed)
# - V: 32.6 Å³ per atom
# - Energy relative to the lowest polymorph listed for this composition: 0.0 meV per atom
# - Energy of formation: 251.0 meV/atom
data_PmY7Er12
_space_group_name_H-M_alt 'R -3'
_space_group_IT_number 148
_space_group_name_Hall '-R 3'
_cell_length_a 11.9605
_cell_length_b 11.9605
_cell_length_c 15.7998
_cell_angle_alpha 90.00
_cell_angle_beta 90.00
_cell_angle_gamma 120.00
loop_
_atom_site_label
_atom_site_type_symbol
_atom_site_fract_x
_atom_site_fract_y
_atom_site_fract_z
Pm1 Pm 0.0000 0.0000 0.0000
Y1 Y 0.0000 0.0000 0.5000
Y2 Y 0.0504 0.5867 0.5838
Er1 Er 0.0230 0.4504 0.2175
Er2 Er 0.0524 0.1896 0.2951

=====

Record 4
# La3ScPt (GGA-PBE, relaxed)
# - V: 37.2 Å³ per atom
# - Energy relative to the lowest polymorph listed for this composition: 0.0 meV per atom
# - Energy of formation: -188.0 meV/atom
data_La3ScPt
_space_group_name_H-M_alt 'P m -3 m'
_space_group_IT_number 221
_space_group_name_Hall '-P 4 2 3'
_cell_length_a 5.709
_cell_length_b 5.709
_cell_length_c 5.709
_cell_angle_alpha 90.00
_cell_angle_beta 90.00
_cell_angle_gamma 90.00
loop_
_atom_site_label
_atom_site_type_symbol
_atom_site_fract_x
_atom_site_fract_y
_atom_site_fract_z
La1 La 0.000 0.000 0.500
Sc1 Sc 0.500 0.500 0.500
Pt1 Pt 0.000 0.000 0.000

=====

Record 5
# BaPa3C4N12 (GGA-PBE, relaxed)
# - Formation energy (no corrections): -532 meV per atom
# - V: 13.9 Å³ per atom
data_BaPa3C4N12
_space_group_name_H-M_alt 'R 3 2'
_space_group_IT_number 155
_space_group_name_Hall 'R 3 2"'
_cell_length_a 10.2113
_cell_length_b 10.2113
_cell_length_c 9.2651
_cell_angle_alpha 90.00
_cell_angle_beta 90.00
_cell_angle_gamma 120.00
loop_
_atom_site_label
_atom_site_type_symbol
_atom_site_fract_x
_atom_site_fract_y
_atom_site_fract_z
Ba1 Ba 0.0000 0.0000 0.0000
Pa1 Pa 0.0000 0.5396 0.0000
C1 C 0.0000 0.0000 0.5000
C2 C 0.0000 0.4636 0.5000
N1 N 0.0000 0.5972 0.5000
N2 N 0.0000 0.8667 0.5000
N3 N 0.0014 0.2088 0.7952

=====

Record 6
# PmHo2IO8 (GGA-PBE, relaxed)
# - Formation energy (no corrections): -2325 meV per atom
# - V: 14.6 Å³ per atom
data_PmHo2IO8
_space_group_name_H-M_alt 'C m m m'
_space_group_IT_number 65
_space_group_name_Hall '-C 2 2'
_cell_length_a 7.118
_cell_length_b 7.124
_cell_length_c 6.912
_cell_angle_alpha 90.00
_cell_angle_beta 90.00
_cell_angle_gamma 90.00
loop_
_atom_site_label
_atom_site_type_symbol
_atom_site_fract_x
_atom_site_fract_y
_atom_site_fract_z
Pm1 Pm 0.000 0.000 0.000
Ho1 Ho 0.000 0.500 0.249
I1 I 0.000 0.000 0.500
O1 O 0.000 0.267 0.500
O2 O 0.000 0.316 0.000
O3 O 0.183 0.000 0.297

=====

Record 7
# Ca2YMnS4 (GGA-PBE, relaxed)
# - Formation energy (no corrections): -1681 meV per atom
# - V: 21.2 Å³ per atom
data_Ca2YMnS4
_space_group_name_H-M_alt 'P 1 2/m 1'
_space_group_IT_number 10
_cell_length_a 6.744
_cell_length_b 3.915
_cell_length_c 6.835
_cell_angle_alpha 90.00
_cell_angle_beta 109.79
_cell_angle_gamma 90.00
loop_
_space_group_symop_operation_xyz
'x,y,z'
'-x,-y,-z'
'-x,y,-z'
'x,-y,z'
loop_
_atom_site_label
_atom_site_type_symbol
_atom_site_fract_x
_atom_site_fract_y
_atom_site_fract_z
Ca1 Ca 0.000 0.000 0.000
Ca2 Ca 0.500 0.500 0.000
Y1 Y 0.000 0.500 0.500
Mn1 Mn 0.500 0.000 0.500
S1 S 0.252 0.000 0.742
S2 S 0.263 0.500 0.268

=====

Record 8
# TlCuAgCl6 (GGA-PBE, relaxed)
# - Formation energy (no corrections): -524 meV per atom
# - V: 24.3 Å³ per atom
data_TlCuAgCl6
_space_group_name_H-M_alt 'P -3 1 c'
_space_group_IT_number 163
_space_group_name_Hall '-P 3 2c'
_cell_length_a 6.4940
_cell_length_b 6.4940
_cell_length_c 11.9972
_cell_angle_alpha 90.00
_cell_angle_beta 90.00
_cell_angle_gamma 120.00
loop_
_atom_site_label
_atom_site_type_symbol
_atom_site_fract_x
_atom_site_fract_y
_atom_site_fract_z
Tl1 Tl 0.3333 0.6667 0.2500
Cu1 Cu 0.3333 0.6667 0.7500
Ag1 Ag 0.0000 0.0000 0.0000
Cl1 Cl 0.0225 0.3598 0.6308

=====

Q: The highest V belongs to which entry?
A: La3ScPt

=====

Q: What is the formula in the first record?
A: YSc4Al